Record 1
The following is a GGA-PBE calculation of a geometry-optimized Cs2TmCd2S4 structure, from Alexandria via LeMat-Bulk.

a = 4.035 Å, b = 8.557 Å, c = 8.559 Å
α = 112.37°, β = 103.64°, γ = 90.00°
Atoms (fractional coordinates):
Cs (0.127, 0.558, 0.254)
Cs (0.873, 0.442, 0.746)
Tm (0.000, 0.000, 0.000)
Cd (0.684, 0.020, 0.368)
Cd (0.316, 0.980, 0.632)
S (0.176, 0.206, 0.353)
S (0.824, 0.794, 0.647)
S (0.525, 0.801, 0.049)
S (0.475, 0.199, 0.951)

**Raw formation energy**: -10.217 eV/f.u.
**Volume**: 29.4 Å³ per atom



Record 2
The following is a GGA-PBE calculation of a geometry-optimized Cs2UCd2S6 structure, from Alexandria via LeMat-Bulk.

a = 7.698 Å, b = 7.698 Å, c = 8.398 Å
α = 62.72°, β = 62.72°, γ = 60.00°
Atoms (fractional coordinates):
Cs (0.783, 0.783, 0.651)
Cs (0.217, 0.217, 0.349)
U (0.000, 0.000, 0.000)
Cd (0.399, 0.399, 0.802)
Cd (0.601, 0.601, 0.198)
S (0.775, 0.775, 0.225)
S (0.226, 0.775, 0.225)
S (0.775, 0.226, 0.225)
S (0.225, 0.774, 0.775)
S (0.774, 0.225, 0.775)
S (0.225, 0.225, 0.775)

**Raw formation energy**: -10.157 eV/f.u.
**Volume**: 33.2 Å³ per atom



Record 3
The following is a GGA-PBE calculation of a geometry-optimized Cs3UCd2S6 structure, from Alexandria via LeMat-Bulk.

a = 7.760 Å, b = 7.760 Å, c = 9.037 Å
α = 90.00°, β = 90.00°, γ = 120.00°
Atoms (fractional coordinates):
Cs (0.333, 0.667, 0.712)
Cs (0.667, 0.333, 0.288)
Cs (0.000, 0.000, 0.000)
U (0.000, 0.000, 0.500)
Cd (0.667, 0.333, 0.682)
Cd (0.333, 0.667, 0.318)
S (0.696, 0.848, 0.315)
S (0.152, 0.304, 0.315)
S (0.152, 0.848, 0.315)
S (0.848, 0.696, 0.685)
S (0.304, 0.152, 0.685)
S (0.848, 0.152, 0.685)

**Raw formation energy**: -11.893 eV/f.u.
**Volume**: 39.3 Å³ per atom



Record 4
The following is a GGA-PBE calculation of a geometry-optimized CsCd2WS structure, from Alexandria via LeMat-Bulk.

a = 5.596 Å, b = 4.619 Å, c = 5.596 Å
α = 90.00°, β = 90.00°, γ = 90.00°
Atoms (fractional coordinates):
Cs (0.500, 0.500, 0.500)
S (0.000, 0.500, 0.000)
W (0.000, 0.000, 0.000)
Cd (0.000, 0.000, 0.500)
Cd (0.500, 0.000, 0.000)

**Raw formation energy**: 0.808 eV/f.u.
**Volume**: 28.9 Å³ per atom



Record 5
The following is a GGA-PBE calculation of a geometry-optimized Cs2YCd2S4 structure, from Alexandria via LeMat-Bulk.

a = 4.072 Å, b = 8.567 Å, c = 8.583 Å
α = 112.21°, β = 103.72°, γ = 90.00°
Atoms (fractional coordinates):
Cs (0.127, 0.557, 0.254)
Cs (0.873, 0.443, 0.746)
Y (0.000, 0.000, 0.000)
Cd (0.685, 0.020, 0.369)
Cd (0.315, 0.980, 0.631)
S (0.179, 0.206, 0.357)
S (0.821, 0.794, 0.643)
S (0.526, 0.799, 0.052)
S (0.474, 0.201, 0.948)

**Raw formation energy**: -10.266 eV/f.u.
**Volume**: 29.8 Å³ per atom



Record 6
The following is a GGA-PBE calculation of a geometry-optimized Cs2Zn2CdS4 structure, from Alexandria via LeMat-Bulk.

a = 3.966 Å, b = 7.893 Å, c = 8.390 Å
α = 107.41°, β = 103.67°, γ = 90.00°
Atoms (fractional coordinates):
Cs (0.126, 0.532, 0.253)
Cs (0.874, 0.468, 0.747)
Zn (0.674, 0.985, 0.347)
Zn (0.326, 0.015, 0.653)
Cd (0.000, 0.000, 0.000)
S (0.213, 0.164, 0.426)
S (0.787, 0.836, 0.574)
S (0.531, 0.798, 0.063)
S (0.469, 0.202, 0.937)

**Raw formation energy**: -8.079 eV/f.u.
**Volume**: 27.0 Å³ per atom



Record 7
The following is a GGA-PBE calculation of a geometry-optimized CsCd2Sb2 structure, from Alexandria via LeMat-Bulk.

a = 5.034 Å, b = 5.034 Å, c = 7.345 Å
α = 69.96°, β = 69.96°, γ = 90.00°
Atoms (fractional coordinates):
Cs (0.000, 0.000, 0.000)
Sb (0.750, 0.250, 0.500)
Sb (0.250, 0.750, 0.500)
Cd (0.390, 0.390, 0.221)
Cd (0.610, 0.610, 0.779)

**Raw formation energy**: -0.941 eV/f.u.
**Volume**: 32.6 Å³ per atom
**Energy relative to the lowest polymorph listed for this composition**: 91.1 meV/atom



Record 8
The following is a GGA-PBE calculation of a geometry-optimized CsCd4Sb2 structure, from Alexandria via LeMat-Bulk.

a = 5.323 Å, b = 5.323 Å, c = 10.056 Å
α = 74.65°, β = 74.65°, γ = 60.00°
Atoms (fractional coordinates):
Cs (0.000, 0.000, 0.000)
Sb (0.236, 0.236, 0.291)
Sb (0.764, 0.764, 0.709)
Cd (0.448, 0.448, 0.657)
Cd (0.134, 0.134, 0.599)
Cd (0.552, 0.552, 0.343)
Cd (0.866, 0.866, 0.401)

**Raw formation energy**: -0.823 eV/f.u.
**Volume**: 33.6 Å³ per atom



Record 9
The following is a GGA-PBE calculation of a geometry-optimized Cs5Cd4Sb2 structure, from Alexandria via LeMat-Bulk.

a = 9.868 Å, b = 7.361 Å, c = 12.341 Å
α = 62.12°, β = 66.43°, γ = 47.92°
Atoms (fractional coordinates):
Cs (0.122, 0.343, 0.860)
Cs (0.878, 0.657, 0.140)
Cs (0.000, 0.500, 0.500)
Cs (0.675, 0.343, 0.860)
Cs (0.325, 0.657, 0.140)
Cd (0.381, 0.661, 0.578)
Cd (0.619, 0.339, 0.422)
Cd (0.644, 0.014, 0.697)
Cd (0.356, 0.986, 0.303)
Sb (0.188, 0.848, 0.777)
Sb (0.812, 0.152, 0.223)

**Raw formation energy**: -1.433 eV/f.u.
**Volume**: 53.0 Å³ per atom



Record 10
The following is a GGA-PBE calculation of a geometry-optimized CsCd2Sb2 structure, from Alexandria via LeMat-Bulk.

a = 9.436 Å, b = 9.436 Å, c = 3.539 Å
α = 90.00°, β = 90.00°, γ = 90.00°
Atoms (fractional coordinates):
Cs (0.000, 0.000, 0.000)
Cs (0.500, 0.500, 0.000)
Cd (0.641, 0.141, 0.500)
Cd (0.859, 0.641, 0.500)
Cd (0.359, 0.859, 0.500)
Cd (0.141, 0.359, 0.500)
Sb (0.857, 0.357, 0.000)
Sb (0.643, 0.857, 0.000)
Sb (0.143, 0.643, 0.000)
Sb (0.357, 0.143, 0.000)

**Raw formation energy**: -0.089 eV/f.u.
**Volume**: 31.5 Å³ per atom
**Energy relative to the lowest polymorph listed for this composition**: 261.5 meV/atom